## one
First-principles (GGA-PBE) data for LaV3Au after structural relaxation, as listed in the Alexandria database.

Symmetry ... Pm-3m, No. 221
M_tot ... 1.559 μB per atom

Cell lengths 4.967, 4.967, 4.967 Å; angles 90.00, 90.00, 90.00 degrees
Fractional coordinates of all 5 atoms:
V 0.500 0.000 0.000
V 0.000 0.000 0.500
V 0.000 0.500 0.000
La 0.500 0.500 0.500
Au 0.000 0.000 0.000

***

## two
First-principles (GGA-PBE) data for LaV3Au after structural relaxation, as listed in the Alexandria database.

Symmetry ... Pm-3m, No. 221
M_tot ... 0.000 μB per atom

Cell lengths 4.531, 4.531, 4.531 Å; angles 90.00, 90.00, 90.00 degrees
Fractional coordinates of all 5 atoms:
Au 0.500 0.500 0.500
V 0.000 0.500 0.000
V 0.000 0.000 0.500
V 0.500 0.000 0.000
La 0.000 0.000 0.000

***

Q: Which of them is the least stable? A: two.

***

## one
First-principles (GGA-PBE) data for LaVAu2 after structural relaxation, as listed in the Alexandria database.

Symmetry ... Fm-3m, No. 225
M_tot ... 0.842 μB per atom

Cell lengths 5.032, 5.032, 5.032 Å; angles 60.00, 60.00, 60.00 degrees
Fractional coordinates of all 4 atoms:
Au 0.250 0.250 0.250
Au 0.750 0.750 0.750
La 0.500 0.500 0.500
V 0.000 0.000 0.000

***

## two
First-principles (GGA-PBE) data for LaVAu2 after structural relaxation, as listed in the Alexandria database.

Symmetry ... I-42d, No. 122
M_tot ... 0.770 μB per atom

Cell lengths 4.934, 4.934, 9.457 Å; angles 74.88, 74.88, 90.00 degrees
Fractional coordinates of all 8 atoms:
La 0.750 0.250 0.500
La 0.000 0.000 0.000
V 0.250 0.750 0.500
V 0.500 0.500 0.000
Au 0.233 0.625 0.250
Au 0.375 0.483 0.750
Au 0.517 0.125 0.250
Au 0.875 0.767 0.750

***

Q: Which of them is the least stable? A: two.

***

## one
First-principles (GGA-PBE) data for LaW2Au after structural relaxation, as listed in the Alexandria database.

Symmetry ... Pm, No. 6
M_tot ... 0.000 μB per atom

Cell lengths 3.280, 3.280, 8.421 Å; angles 67.18, 90.00, 90.00 degrees
Fractional coordinates of all 4 atoms:
W 0.000 0.940 0.060
W 0.500 0.278 0.223
Au 0.000 0.544 0.457
La 0.500 0.739 0.761

***

## two
First-principles (GGA-PBE) data for LaW2Au after structural relaxation, as listed in the Alexandria database.

Symmetry ... Cmm2, No. 35
M_tot ... 0.000 μB per atom

Cell lengths 2.946, 2.946, 9.805 Å; angles 90.00, 90.00, 111.95 degrees
Fractional coordinates of all 4 atoms:
Au 0.000 0.000 0.473
W 0.000 0.000 0.034
W 0.500 0.500 0.237
La 0.500 0.500 0.756

***

Q: Which of them is the least stable? A: two.